Y3InRu | Alexandria | PBE-GGA | relaxed; mass density = 6.5 g cm⁻³; final energy = -98.4 eV per cell; formation energy = -0.279 eV per atom
1.0
7.194 0.000 0.000
0.000 7.194 0.000
0.000 0.000 7.194
Y In Ru
9 3 3
direct
0.000 0.000 0.000 Y
0.270 0.270 0.270 Y
0.270 0.270 0.730 Y
0.270 0.730 0.270 Y
0.270 0.730 0.730 Y
0.730 0.270 0.270 Y
0.730 0.270 0.730 Y
0.730 0.730 0.270 Y
0.730 0.730 0.730 Y
0.000 0.000 0.500 In
0.000 0.500 0.000 In
0.500 0.000 0.000 In
0.000 0.500 0.500 Ru
0.500 0.000 0.500 Ru
0.500 0.500 0.000 Ru

---

Zn2Ni6Ir | Alexandria | PBE-GGA | relaxed; mass density = 10.1 g cm⁻³; final energy = -45.4 eV per cell; formation energy = 0.073 eV per atom
1.0
3.696 -2.471 0.000
3.696 2.471 0.000
-2.027 0.000 6.091
Zn Ni Ir
2 6 1
direct
0.171 0.171 0.090 Zn
0.829 0.829 0.910 Zn
0.185 0.711 0.307 Ni
0.264 0.264 0.521 Ni
0.289 0.815 0.693 Ni
0.711 0.185 0.307 Ni
0.736 0.736 0.479 Ni
0.815 0.289 0.693 Ni
0.500 0.500 0.000 Ir

---

Ca4TaIr | Alexandria | PBE-GGA | relaxed; mass density = 5.7 g cm⁻³; final energy = -21.7 eV per cell; formation energy = 1.171 eV per atom
1.0
0.000 4.271 4.271
4.271 0.000 4.271
4.271 4.271 0.000
Ca Ta Ir
4 1 1
direct
0.125 0.125 0.125 Ca
0.125 0.125 0.626 Ca
0.125 0.626 0.125 Ca
0.626 0.125 0.125 Ca
0.500 0.500 0.500 Ta
0.750 0.750 0.750 Ir

---

Question: Which value of formation energy does entry 3 give?
Answer: 1.171 eV per atom